# BaAcPt2

An optimized crystal structure of BaAcPt2 (GGA-PBE, the Alexandria database).

```
data_BaAcPt2
_chemical_formula_sum 'Ba1 Ac1 Pt2'
_symmetry_space_group_name_H-M 'P 1'
_symmetry_Int_Tables_number 1
_cell_length_a 4.366
_cell_length_b 4.366
_cell_length_c 8.147
_cell_angle_alpha 74.46
_cell_angle_beta 74.46
_cell_angle_gamma 60.00
loop_
_symmetry_equiv_pos_as_xyz
'x,y,z'
loop_
_atom_site_label
_atom_site_fract_x
_atom_site_fract_y
_atom_site_fract_z
Ac1 0.668 0.668 0.995
Pt1 0.258 0.258 0.225
Pt2 0.077 0.077 0.770
Ba1 0.497 0.497 0.510
```

Values from the calculation:
uncorrected energy	-5.39	eV per atom
DOS(E_F)	2.28	states/eV/f.u.
ΔE_f	-862	meV per atom